Material: Be2CuOs
Method: DFT, PBE
State: relaxed

Cell lengths 2.517, 3.606, 4.871 Å; angles 90.00, 90.00, 90.00 degrees
Positions (direct):
Be: 0.000 0.000 0.000
Be: 0.500 0.500 0.272
Cu: 0.000 0.000 0.475
Os: 0.500 0.500 0.787

ρ: 10.21 g/cm³
ΔE_f: 0.098 eV/atom
N(E_F): 0.37 states/eV per atom

=====

Material: Be2CuOs
Method: DFT, PBE
State: relaxed

Cell lengths 3.754, 3.754, 2.959 Å; angles 90.00, 90.00, 90.00 degrees
Positions (direct):
Be: 0.000 0.500 0.000
Be: 0.500 0.000 0.000
Cu: 0.000 0.000 0.500
Os: 0.500 0.500 0.500

ρ: 10.82 g/cm³
ΔE_f: -0.199 eV/atom
N(E_F): 0.47 states/eV per atom

=====

Material: Be2CuOs
Method: DFT, PBE
State: relaxed

Cell lengths 2.792, 4.261, 7.762 Å; angles 90.00, 90.00, 90.00 degrees
Positions (direct):
Be: 0.000 0.000 0.000
Be: 0.000 0.500 0.231
Be: 0.500 0.000 0.231
Be: 0.500 0.500 0.000
Cu: 0.000 0.000 0.462
Cu: 0.500 0.500 0.462
Os: 0.000 0.500 0.757
Os: 0.500 0.000 0.757

ρ: 9.78 g/cm³
ΔE_f: 0.257 eV/atom
N(E_F): 0.60 states/eV per atom

=====

Material: BeCu3Os
Method: DFT, PBE
State: relaxed

Cell lengths 3.940, 3.940, 3.940 Å; angles 90.00, 90.00, 90.00 degrees
Positions (direct):
Be: 0.000 0.000 0.000
Cu: 0.000 0.000 0.500
Cu: 0.000 0.500 0.000
Cu: 0.500 0.000 0.000
Os: 0.500 0.500 0.500

ρ: 10.59 g/cm³
ΔE_f: 0.775 eV/atom
N(E_F): 0.62 states/eV per atom

=====

Material: Be2CuOs
Method: DFT, PBE
State: relaxed

Cell lengths 2.763, 2.763, 5.539 Å; angles 90.00, 90.00, 90.00 degrees
Positions (direct):
Be: 0.000 0.000 0.000
Be: 0.500 0.500 0.207
Cu: 0.000 0.000 0.434
Os: 0.500 0.500 0.762

ρ: 10.67 g/cm³
ΔE_f: 0.039 eV/atom
N(E_F): 0.29 states/eV per atom

=====

Material: Be8Cu3Os
Method: DFT, PBE
State: relaxed

Cell lengths 4.281, 4.281, 6.957 Å; angles 90.00, 90.00, 120.00 degrees
Positions (direct):
Be: 0.000 0.000 0.000
Be: 0.000 0.000 0.497
Be: 0.168 0.337 0.740
Be: 0.168 0.832 0.740
Be: 0.341 0.171 0.247
Be: 0.663 0.832 0.740
Be: 0.829 0.171 0.247
Be: 0.829 0.659 0.247
Cu: 0.333 0.667 0.048
Cu: 0.333 0.667 0.418
Cu: 0.667 0.333 0.942
Os: 0.667 0.333 0.557

ρ: 6.81 g/cm³
ΔE_f: -0.162 eV/atom
N(E_F): 0.33 states/eV per atom

=====

Material: BeCuTcOs2
Method: DFT, PBE
State: relaxed

Cell lengths 4.436, 4.436, 4.390 Å; angles 90.00, 90.00, 90.00 degrees
Positions (direct):
Be: 0.000 0.000 0.000
Cu: 0.500 0.500 0.500
Tc: 0.500 0.500 0.000
Os: 0.000 0.500 0.500
Os: 0.500 0.000 0.500

ρ: 10.59 g/cm³
ΔE_f: 2.201 eV/atom
N(E_F): 1.32 states/eV per atom

=====

Material: BeVCuOs
Method: DFT, PBE
State: relaxed

Cell lengths 5.799, 5.799, 5.799 Å; angles 90.00, 90.00, 90.00 degrees
Positions (direct):
Be: 0.000 0.000 0.000
Be: 0.000 0.500 0.500
Be: 0.500 0.000 0.500
Be: 0.500 0.500 0.000
V: 0.000 0.000 0.500
V: 0.000 0.500 0.000
V: 0.500 0.000 0.000
V: 0.500 0.500 0.500
Cu: 0.250 0.250 0.250
Cu: 0.250 0.750 0.750
Cu: 0.750 0.250 0.750
Cu: 0.750 0.750 0.250
Os: 0.250 0.250 0.750
Os: 0.250 0.750 0.250
Os: 0.750 0.250 0.250
Os: 0.750 0.750 0.750

ρ: 10.69 g/cm³
ΔE_f: -0.053 eV/atom
N(E_F): 0.57 states/eV per atom

=====

Material: ZrBe2CuOs
Method: DFT, PBE
State: relaxed

Cell lengths 3.981, 3.981, 4.823 Å; angles 90.00, 90.00, 90.00 degrees
Positions (direct):
Zr: 0.000 0.000 0.000
Be: 0.000 0.500 0.500
Be: 0.500 0.000 0.500
Cu: 0.000 0.000 0.500
Os: 0.500 0.500 0.000

ρ: 7.88 g/cm³
ΔE_f: 0.753 eV/atom
N(E_F): 0.79 states/eV per atom

=====

Material: Zr2BeCuOs
Method: DFT, PBE
State: relaxed

Cell lengths 4.790, 4.790, 4.473 Å; angles 90.00, 90.00, 90.00 degrees
Positions (direct):
Zr: 0.000 0.500 0.000
Zr: 0.500 0.000 0.000
Be: 0.000 0.000 0.500
Cu: 0.500 0.500 0.000
Os: 0.500 0.500 0.500

ρ: 7.20 g/cm³
ΔE_f: 1.068 eV/atom
N(E_F): 1.15 states/eV per atom

=====

Material: BeCuP
Method: DFT, PBE
State: relaxed

Cell lengths 3.321, 3.321, 6.511 Å; angles 90.00, 90.00, 90.00 degrees
Positions (direct):
Be: 0.000 0.000 0.000
Be: 0.500 0.500 0.500
Cu: 0.000 0.000 0.332
Cu: 0.500 0.500 0.832
P: 0.000 0.000 0.674
P: 0.500 0.500 0.174

ρ: 4.79 g/cm³
ΔE_f: 0.122 eV/atom
N(E_F): 0.12 states/eV per atom

=====

Material: BeCuP
Method: DFT, PBE
State: relaxed

Cell lengths 2.722, 2.722, 5.438 Å; angles 90.00, 90.00, 120.00 degrees
Positions (direct):
Be: 0.000 0.000 0.000
Cu: 0.333 0.667 0.323
P: 0.667 0.333 0.684

ρ: 4.93 g/cm³
ΔE_f: 0.244 eV/atom
N(E_F): 0.55 states/eV per atom

=====

Question: Look up the ΔE_f of the first one.
Answer: 0.098 eV/atom

=====

Question: The lowest ρ belongs to which entry?
Answer: number 11